# 1
VASP calculation (PBE) on a relaxed Sm5Cd crystal.

Structure (CIF):
```
data_Sm5Cd
_chemical_formula_sum 'Sm10 Cd2'
_symmetry_space_group_name_H-M 'C 1 m 1'
_symmetry_Int_Tables_number 8
_cell_length_a 12.592
_cell_length_b 3.747
_cell_length_c 8.572
_cell_angle_alpha 90.00
_cell_angle_beta 109.58
_cell_angle_gamma 90.00
loop_
_symmetry_equiv_pos_as_xyz
'x,y,z'
'x,-y,z'
'x+1/2,y+1/2,z'
'x+1/2,-y+1/2,z'
loop_
_atom_site_label
_atom_site_fract_x
_atom_site_fract_y
_atom_site_fract_z
Sm1 0.000 0.000 0.000
Sm2 0.007 0.000 0.587
Sm3 0.135 0.500 0.350
Sm4 0.301 0.000 0.697
Sm5 0.336 0.000 0.215
Cd1 0.184 0.500 0.905
```

Total DFT energy (no corrections) = -4.16 eV/atom
Total moment = 0.00 μB per formula unit
ΔE_f = -45 kJ/mol of formula units
ΔE to the lowest computed polymorph = 0.364 kcal/mol of atoms

---

# 2
VASP calculation (PBE) on a relaxed Ca2Al4Zn3Pd crystal.

Structure (CIF):
```
data_Ca2Al4Zn3Pd
_chemical_formula_sum 'Ca2 Al4 Zn3 Pd1'
_symmetry_space_group_name_H-M 'P -4 m 2'
_symmetry_Int_Tables_number 115
_cell_length_a 4.234
_cell_length_b 4.234
_cell_length_c 10.900
_cell_angle_alpha 90.00
_cell_angle_beta 90.00
_cell_angle_gamma 90.00
loop_
_symmetry_equiv_pos_as_xyz
'x,y,z'
'y,-x,-z'
'-x,-y,z'
'-y,x,-z'
'-x,y,z'
'-y,-x,-z'
'x,-y,z'
'y,x,-z'
loop_
_atom_site_label
_atom_site_fract_x
_atom_site_fract_y
_atom_site_fract_z
Ca1 0.000 0.500 0.246
Al1 0.000 0.000 0.500
Al2 0.000 0.500 0.873
Al3 0.500 0.500 0.500
Zn1 0.000 0.000 0.000
Zn2 0.000 0.500 0.642
Pd1 0.500 0.500 0.000
```

Total DFT energy (no corrections) = -3.17 eV/atom
Total moment = 0.00 μB per formula unit
ΔE_f = -361 kJ/mol of formula units

---

# 3
VASP calculation (PBE) on a relaxed RbBaNb crystal.

Structure (CIF):
```
data_RbBaNb
_chemical_formula_sum 'Rb4 Ba4 Nb4'
_symmetry_space_group_name_H-M 'F -4 3 m'
_symmetry_Int_Tables_number 216
_symmetry_space_group_name_Hall 'F -4 2 3'
_cell_length_a 8.719
_cell_length_b 8.719
_cell_length_c 8.719
_cell_angle_alpha 90.00
_cell_angle_beta 90.00
_cell_angle_gamma 90.00
loop_
_atom_site_label
_atom_site_fract_x
_atom_site_fract_y
_atom_site_fract_z
Rb1 0.000 0.000 0.000
Ba1 0.000 0.000 0.500
Nb1 0.250 0.250 0.750
```

Total DFT energy (no corrections) = -2.90 eV/atom
Total moment = 5.98 μB per formula unit
ΔE_f = 410 kJ/mol of formula units
ΔE to the lowest computed polymorph = 22.191 kcal/mol of atoms